## KBa6Pt (PBE)

Data for an optimized crystal structure of KBa6Pt.

DFT formation energy ... -0.245 eV/atom
Space-group type ... C2/c (15)

Structure (extended XYZ):
```
16
Lattice="7.871 -3.964 0.000 7.871 3.964 0.000 -3.138 0.000 15.338" Properties=species:S:1:pos:R:3 pbc="T T T"
K 5.518 3.292 11.504
K 7.087 -3.292 3.835
Ba 0.629 0.572 8.213
Ba 1.897 0.676 12.711
Ba 2.198 -0.572 0.544
Ba 6.296 0.690 1.596
Ba 3.466 -0.676 5.042
Ba 7.878 0.690 6.074
Ba 4.727 -0.690 9.265
Ba 9.140 0.676 10.296
Ba 6.309 -0.690 13.743
Ba 10.407 0.572 14.795
Ba 10.708 -0.676 2.627
Ba 11.976 -0.572 7.126
Pt 3.936 1.982 0.000
Pt 2.367 -1.982 7.669
```

=====

## HoBePt2 (PBE)

Data for an optimized crystal structure of HoBePt2.

DFT formation energy ... -1.049 eV/atom
Space-group type ... Cmmm (65)
Energy above the lowest structure with this stoichiometry ... 0 meV per atom

Structure (extended XYZ):
```
8
Lattice="2.030 -8.584 0.000 2.030 8.584 0.000 0.000 0.000 3.927" Properties=species:S:1:pos:R:3 pbc="T T T"
Ho 2.030 6.141 0.000
Ho 2.030 -6.141 0.000
Be 2.030 1.215 1.964
Be 2.030 -1.215 1.964
Pt 0.000 0.000 1.964
Pt 2.030 3.423 1.964
Pt 2.030 0.000 0.000
Pt 2.030 -3.423 1.964
```

=====

## Cu2Ni5B2 (PBE)

Data for an optimized crystal structure of Cu2Ni5B2.

DFT formation energy ... -0.118 eV/atom
Space-group type ... Cmce (64)

Structure (extended XYZ):
```
18
Lattice="6.545 -2.642 0.000 6.545 2.642 0.000 0.000 0.000 5.296" Properties=species:S:1:pos:R:3 pbc="T T T"
Cu 3.017 0.000 0.000
Cu 3.528 0.000 2.648
Cu 9.562 0.000 2.648
Cu 10.073 0.000 0.000
Ni 0.000 0.000 0.000
Ni 5.140 1.735 3.558
Ni 5.140 0.908 0.910
Ni 7.950 1.735 3.558
Ni 7.950 0.908 0.910
Ni 6.545 0.000 2.648
Ni 5.140 -0.908 4.386
Ni 5.140 -1.735 1.738
Ni 7.950 -0.908 4.386
Ni 7.950 -1.735 1.738
B 6.545 1.997 2.000
B 6.545 0.646 4.648
B 6.545 -0.646 0.648
B 6.545 -1.997 3.296
```

=====

## NdErTh2 (PBE)

Data for an optimized crystal structure of NdErTh2.

DFT formation energy ... 0.049 eV/atom
Space-group type ... R3m (160)
Energy above the lowest structure with this stoichiometry ... 20 meV per atom

Structure (extended XYZ):
```
4
Lattice="1.788 1.032 11.726 -1.788 1.032 11.726 0.000 -2.065 11.726" Properties=species:S:1:pos:R:3 pbc="T T T"
Nd 0.000 0.000 0.000
Er 0.000 0.000 5.972
Th 0.000 0.000 20.528
Th 0.000 0.000 26.511
```

=====

## Pu2PaSi (PBE)

Data for an optimized crystal structure of Pu2PaSi.

Space-group type ... Fm-3m (225)
Energy above the lowest structure with this stoichiometry ... 207 meV per atom

Structure (extended XYZ):
```
4
Lattice="0.000 3.500 3.500 3.500 0.000 3.500 3.500 3.500 0.000" Properties=species:S:1:pos:R:3 pbc="T T T"
Pu 1.750 1.750 1.750
Pu 5.250 5.250 5.250
Pa 0.000 0.000 0.000
Si 3.500 3.500 3.500
```

=====

## LiCe2As3 (PBE)

Data for an optimized crystal structure of LiCe2As3.

DFT formation energy ... -1.041 eV/atom
Space-group type ... Immm (71)

Structure (extended XYZ):
```
6
Lattice="-2.119 2.886 6.294 2.119 -2.886 6.294 2.119 2.886 -6.294" Properties=species:S:1:pos:R:3 pbc="T T T"
Li 0.000 0.000 0.000
Ce 0.000 0.000 4.260
Ce 0.000 0.000 8.329
As 2.119 0.000 2.268
As 0.000 2.886 0.000
As 0.000 2.886 4.026
```

=====

## CaAg2Pb (PBE)

Data for an optimized crystal structure of CaAg2Pb.

DFT formation energy ... -0.146 eV/atom
Space-group type ... P4mm (99)

Structure (extended XYZ):
```
4
Lattice="3.666 0.000 0.000 0.000 3.666 0.000 0.000 0.000 7.227" Properties=species:S:1:pos:R:3 pbc="T T T"
Ca 0.000 0.000 0.000
Ag 0.000 0.000 3.998
Ag 1.833 1.833 5.382
Pb 1.833 1.833 2.278
```

=====

## K2YAg2 (PBE)

Data for an optimized crystal structure of K2YAg2.

DFT formation energy ... 0.190 eV/atom
Space-group type ... P4/mbm (127)

Structure (extended XYZ):
```
10
Lattice="7.794 0.000 0.000 0.000 7.794 0.000 0.000 0.000 5.565" Properties=species:S:1:pos:R:3 pbc="T T T"
K 1.308 2.589 0.000
K 2.589 6.486 0.000
K 5.205 1.308 0.000
K 6.486 5.205 0.000
Y 0.000 0.000 2.783
Y 3.897 3.897 2.783
Ag 0.999 4.896 2.783
Ag 2.897 0.999 2.783
Ag 4.896 6.794 2.783
Ag 6.794 2.897 2.783
```

=====

## Ba8As3RhI4 (PBE)

Data for an optimized crystal structure of Ba8As3RhI4.

Space-group type ... R-3m (166)

Structure (extended XYZ):
```
16
Lattice="4.791 2.766 8.451 -4.791 2.766 8.451 0.000 -5.532 8.451" Properties=species:S:1:pos:R:3 pbc="T T T"
Ba 0.000 0.000 5.966
Ba -2.332 -1.346 14.360
Ba 0.000 -2.692 10.994
Ba -2.332 1.346 10.994
Ba 2.332 -1.346 14.360
Ba 0.000 2.692 14.360
Ba 2.332 1.346 10.994
Ba 0.000 0.000 19.388
As -4.791 0.000 12.677
As -2.395 1.383 4.226
As 2.395 1.383 4.226
Rh 0.000 0.000 12.677
I 0.000 0.000 0.000
I -2.395 -1.383 8.451
I -2.395 1.383 16.903
I 0.000 2.766 8.451
```

=====

## LaMg2Cd (PBE)

Data for an optimized crystal structure of LaMg2Cd.

DFT formation energy ... -0.242 eV/atom
Space-group type ... I-4m2 (119)

Structure (extended XYZ):
```
4
Lattice="-2.641 2.641 3.721 2.641 -2.641 3.721 2.641 2.641 -3.721" Properties=species:S:1:pos:R:3 pbc="T T T"
La 0.000 0.000 0.000
Mg 2.641 0.000 1.861
Mg 0.000 0.000 3.721
Cd 0.000 2.641 1.861
```

=====

## Tb2CeScBi5 (PBE)

Data for an optimized crystal structure of Tb2CeScBi5.

DFT formation energy ... 0.099 eV/atom
Space-group type ... P4/mmm (123)

Structure (extended XYZ):
```
9
Lattice="5.611 0.000 0.000 0.000 5.611 0.000 0.000 0.000 11.448" Properties=species:S:1:pos:R:3 pbc="T T T"
Tb 0.000 0.000 2.488
Tb 0.000 0.000 8.960
Ce 2.805 2.805 0.000
Sc 2.805 2.805 5.724
Bi 0.000 0.000 5.724
Bi 0.000 2.805 0.000
Bi 2.805 0.000 0.000
Bi 2.805 2.805 2.995
Bi 2.805 2.805 8.453
```

=====

## Rb2ZnCu2 (PBE)

Data for an optimized crystal structure of Rb2ZnCu2.

DFT formation energy ... 0.401 eV/atom
Space-group type ... P4/mbm (127)
Energy above the lowest structure with this stoichiometry ... 39 meV per atom

Structure (extended XYZ):
```
10
Lattice="7.147 0.000 0.000 0.000 7.147 0.000 0.000 0.000 5.469" Properties=species:S:1:pos:R:3 pbc="T T T"
Rb 1.302 2.272 0.000
Rb 2.272 5.845 0.000
Rb 4.876 1.302 0.000
Rb 5.845 4.876 0.000
Zn 0.000 0.000 2.735
Zn 3.574 3.574 2.735
Cu 0.880 4.454 2.735
Cu 2.694 0.880 2.735
Cu 4.454 6.267 2.735
Cu 6.267 2.694 2.735
```

=====

## KCr2Ir (PBE)

Data for an optimized crystal structure of KCr2Ir.

DFT formation energy ... 0.701 eV/atom
Space-group type ... Cmm2 (35)
Energy above the lowest structure with this stoichiometry ... 126 meV per atom

Structure (extended XYZ):
```
4
Lattice="1.473 -2.323 0.000 1.473 2.323 0.000 0.000 0.000 9.618" Properties=species:S:1:pos:R:3 pbc="T T T"
K 0.000 0.000 0.000
Cr 0.000 0.000 4.869
Cr 1.473 0.000 6.506
Ir 1.473 0.000 2.778
```

=====

## NaPb2Cl6 (PBE)

Data for an optimized crystal structure of NaPb2Cl6.

Space-group type ... P2_1/c (14)

Structure (extended XYZ):
```
18
Lattice="7.233 0.000 0.000 0.000 6.613 0.000 -7.222 0.000 11.986" Properties=species:S:1:pos:R:3 pbc="T T T"
Na 0.000 0.000 0.000
Na -3.611 3.307 5.993
Pb -3.605 0.018 9.839
Pb 0.006 3.289 3.846
Pb 0.005 3.324 8.140
Pb 3.616 6.596 2.147
Cl -2.308 4.861 3.951
Cl -5.919 5.060 9.944
Cl 2.439 1.415 0.011
Cl -1.172 1.892 6.004
Cl -2.305 4.899 8.020
Cl 1.306 5.021 2.027
Cl -1.295 1.593 9.959
Cl 2.316 1.714 3.966
Cl 1.183 4.721 5.982
Cl -2.428 5.199 11.975
Cl 5.930 1.554 2.042
Cl 2.319 1.753 8.035
```

=====

## Pr11Tl9In4 (PBE)

Data for an optimized crystal structure of Pr11Tl9In4.

DFT formation energy ... -0.377 eV/atom
Space-group type ... Cmmm (65)

Structure (extended XYZ):
```
24
Lattice="8.221 -11.507 0.000 8.221 11.507 0.000 0.000 0.000 3.838" Properties=species:S:1:pos:R:3 pbc="T T T"
Pr 0.000 0.000 0.000
Pr 3.840 3.989 0.000
Pr 8.221 7.267 0.000
Pr 3.848 0.000 0.000
Pr 8.221 2.947 0.000
Pr 3.840 -3.989 0.000
Pr 12.602 3.989 0.000
Pr 8.221 -2.947 0.000
Pr 12.594 0.000 0.000
Pr 8.221 -7.267 0.000
Pr 12.602 -3.989 0.000
Tl 1.816 2.096 1.919
Tl 6.336 5.214 1.919
Tl 1.816 -2.096 1.919
Tl 10.106 5.214 1.919
Tl 8.221 0.000 1.919
Tl 6.336 -5.214 1.919
Tl 14.626 2.096 1.919
Tl 10.106 -5.214 1.919
Tl 14.626 -2.096 1.919
In 5.648 1.946 1.919
In 5.648 -1.946 1.919
In 10.794 1.946 1.919
In 10.794 -1.946 1.919
```

=====

## SrFeBAs2 (PBE)

Data for an optimized crystal structure of SrFeBAs2.

DFT formation energy ... 0.083 eV/atom
Space-group type ... P4/mmm (123)

Structure (extended XYZ):
```
5
Lattice="4.885 0.000 0.000 0.000 4.885 0.000 0.000 0.000 4.021" Properties=species:S:1:pos:R:3 pbc="T T T"
Sr 0.000 0.000 0.000
Fe 2.443 2.443 2.010
B 2.443 2.443 0.000
As 0.000 2.443 2.010
As 2.443 0.000 2.010
```

=====

## Cs2BiSe2 (PBE)

Data for an optimized crystal structure of Cs2BiSe2.

Space-group type ... P4/mbm (127)

Structure (extended XYZ):
```
10
Lattice="8.293 0.000 0.000 0.000 8.293 0.000 0.000 0.000 5.563" Properties=species:S:1:pos:R:3 pbc="T T T"
Cs 1.238 2.908 0.000
Cs 2.908 7.055 0.000
Cs 5.384 1.238 0.000
Cs 7.055 5.384 0.000
Bi 0.000 0.000 2.781
Bi 4.146 4.146 2.781
Se 1.460 5.606 2.781
Se 2.686 1.460 2.781
Se 5.606 6.833 2.781
Se 6.833 2.686 2.781
```

=====

## Pm2PrSmHo5 (PBE)

Data for an optimized crystal structure of Pm2PrSmHo5.

DFT formation energy ... 0.255 eV/atom
Space-group type ... I4/mcm (140)

Structure (extended XYZ):
```
18
Lattice="-4.373 4.373 7.729 4.373 -4.373 7.729 4.373 4.373 -7.729" Properties=species:S:1:pos:R:3 pbc="T T T"
Pm 5.393 1.020 0.000
Pm 1.020 3.354 0.000
Pm 3.354 1.020 7.729
Pm -1.020 3.354 7.729
Pr 0.000 0.000 3.864
Pr 0.000 0.000 11.593
Sm 4.373 0.000 3.864
Sm 0.000 4.373 3.864
Ho 0.000 0.000 0.000
Ho 2.549 1.824 -2.106
Ho 2.549 -1.824 5.623
Ho 2.549 1.824 2.106
Ho 2.549 -1.824 9.834
Ho 0.000 0.000 7.729
Ho 1.824 6.197 -2.106
Ho 1.824 2.549 5.623
Ho 1.824 6.197 2.106
Ho 1.824 2.549 9.834
```

=====

## Ce6In2CoN (PBE)

Data for an optimized crystal structure of Ce6In2CoN.

Space-group type ... I4/mmm (139)

Structure (extended XYZ):
```
10
Lattice="-3.583 3.583 5.055 3.583 -3.583 5.055 3.583 3.583 -5.055" Properties=species:S:1:pos:R:3 pbc="T T T"
Ce 0.000 0.000 2.427
Ce 1.717 1.717 0.000
Ce 1.866 -1.866 5.055
Ce -1.866 1.866 5.055
Ce 0.000 0.000 7.682
Ce 1.866 1.866 5.055
In 3.583 0.000 2.527
In 0.000 3.583 2.527
Co 0.000 0.000 5.055
N 0.000 0.000 0.000
```

=====

## Sc3Zn9Co2 (PBE)

Data for an optimized crystal structure of Sc3Zn9Co2.

DFT formation energy ... -0.251 eV/atom
Space-group type ... Immm (71)

Structure (extended XYZ):
```
14
Lattice="-2.120 4.568 5.696 2.120 -4.568 5.696 2.120 4.568 -5.696" Properties=species:S:1:pos:R:3 pbc="T T T"
Sc 0.000 0.000 0.000
Sc 0.000 0.000 3.488
Sc 0.000 0.000 7.904
Zn 2.120 -1.246 1.665
Zn 2.120 -2.040 4.249
Zn 2.120 1.246 1.665
Zn 0.000 2.528 1.447
Zn 0.000 4.568 0.000
Zn 2.120 2.040 4.249
Zn 0.000 3.322 4.031
Zn 0.000 6.608 1.447
Zn 0.000 5.814 4.031
Co 2.120 3.145 0.000
Co 0.000 1.423 5.696
```

=====

Computed magnetization (μB per cell) in order:
0.00 0.00 0.00 0.00 12.54 0.00 0.00 0.00 0.04 0.00 0.00 0.00 0.00 0.00 0.00 2.47 0.00 0.00 4.56 0.00
Computed VASP energy (Ry/atom) in order:
-0.190 -0.452 -0.421 -0.440 -0.803 -0.416 -0.220 -0.197 -0.293 -0.184 -0.327 -0.138 -0.485 -0.245 -0.287 -0.378 -0.233 -0.323 -0.448 -0.253